# 1
VASP calculation (PBE-GGA) on a relaxed Tb2Nd2Ho2In crystal.

Energy of formation ... -32 meV/atom
Space group ... C2/m (12)
E ... -30.91 eV per formula unit

Lattice parameters (Å, degrees): 4.134 4.134 13.158 99.03 99.03 89.92
Positions (direct):
Tb (0.066, 0.066, 0.128)
Tb (0.934, 0.934, 0.872)
Nd (0.210, 0.210, 0.418)
Nd (0.790, 0.790, 0.582)
Ho (0.362, 0.362, 0.726)
Ho (0.638, 0.638, 0.274)
In (0.500, 0.500, 0.000)

# 2
VASP calculation (PBE-GGA) on a relaxed BeCr2Fe crystal.

Energy of formation ... 28 meV/atom
Space group ... P2/m (10)
E ... -31.32 eV per formula unit

Lattice parameters (Å, degrees): 2.399 3.864 4.674 90.00 104.10 90.00
Positions (direct):
Be (0.000, 0.000, 0.000)
Cr (0.494, 0.500, 0.760)
Cr (0.506, 0.500, 0.240)
Fe (0.000, 0.000, 0.500)

# 3
VASP calculation (PBE-GGA) on a relaxed CsHg2Se2Cl crystal.

Formation energy (no corrections) ... -4.0 eV per formula unit
Space group ... P2_1/m (11)
E ... -14.30 eV per formula unit

Lattice parameters (Å, degrees): 7.813 7.230 8.506 90.00 106.27 90.00
Positions (direct):
Cs (0.210, 0.250, 0.089)
Cs (0.790, 0.750, 0.911)
Hg (0.268, 0.000, 0.649)
Hg (0.268, 0.500, 0.649)
Hg (0.732, 0.000, 0.351)
Hg (0.732, 0.500, 0.351)
Se (0.247, 0.750, 0.850)
Se (0.403, 0.250, 0.518)
Se (0.597, 0.750, 0.482)
Se (0.753, 0.250, 0.150)
Cl (0.034, 0.750, 0.315)
Cl (0.966, 0.250, 0.685)

# 4
VASP calculation (PBE-GGA) on a relaxed Co4Ni3Pt crystal.

Energy of formation ... -30 meV/atom
Space group ... Pmma (51)
Offset from the most stable computed form ... 0 meV per atom
E ... -52.05 eV per formula unit

Lattice parameters (Å, degrees): 8.267 5.057 4.444 90.00 90.00 90.00
Positions (direct):
Co (0.000, 0.238, 0.000)
Co (0.000, 0.762, 0.000)
Co (0.250, 0.239, 0.319)
Co (0.250, 0.761, 0.319)
Co (0.500, 0.238, 0.000)
Co (0.500, 0.762, 0.000)
Co (0.750, 0.239, 0.681)
Co (0.750, 0.761, 0.681)
Ni (0.000, 0.000, 0.500)
Ni (0.250, 0.000, 0.823)
Ni (0.250, 0.500, 0.839)
Ni (0.500, 0.000, 0.500)
Ni (0.750, 0.000, 0.177)
Ni (0.750, 0.500, 0.161)
Pt (0.000, 0.500, 0.500)
Pt (0.500, 0.500, 0.500)

Please write out number 3 again, unchanged.
VASP calculation (PBE-GGA) on a relaxed CsHg2Se2Cl crystal.

Formation energy (no corrections) ... -4.0 eV per formula unit
Space group ... P2_1/m (11)
E ... -14.30 eV per formula unit

Lattice parameters (Å, degrees): 7.813 7.230 8.506 90.00 106.27 90.00
Positions (direct):
Cs (0.210, 0.250, 0.089)
Cs (0.790, 0.750, 0.911)
Hg (0.268, 0.000, 0.649)
Hg (0.268, 0.500, 0.649)
Hg (0.732, 0.000, 0.351)
Hg (0.732, 0.500, 0.351)
Se (0.247, 0.750, 0.850)
Se (0.403, 0.250, 0.518)
Se (0.597, 0.750, 0.482)
Se (0.753, 0.250, 0.150)
Cl (0.034, 0.750, 0.315)
Cl (0.966, 0.250, 0.685)

What did the first record say?
VASP calculation (PBE-GGA) on a relaxed Tb2Nd2Ho2In crystal.

Energy of formation ... -32 meV/atom
Space group ... C2/m (12)
E ... -30.91 eV per formula unit

Lattice parameters (Å, degrees): 4.134 4.134 13.158 99.03 99.03 89.92
Positions (direct):
Tb (0.066, 0.066, 0.128)
Tb (0.934, 0.934, 0.872)
Nd (0.210, 0.210, 0.418)
Nd (0.790, 0.790, 0.582)
Ho (0.362, 0.362, 0.726)
Ho (0.638, 0.638, 0.274)
In (0.500, 0.500, 0.000)